Below is an optimized crystal structure of RbRhPb2, with properties calculated at the PBE level.

Output
The energy of formation comes out at -0.164 eV per formula unit. Its crystal system is trigonal.

Lattice parameters (Å, degrees): 4.5919 4.5919 21.2695 90.00 90.00 120.00
Closest atoms and distances in Å follow each position.
Space group R-3m (No. 166, hexagonal axes)
Asymmetric unit:
Rb  0.0000  0.0000  0.0000 (multiplicity 3)  6 Pb 3.70
Rh  0.0000  0.0000  0.5000 (multiplicity 3)  6 Pb 2.82
Pb  0.0000  0.0000  0.2120 (multiplicity 6)  3 Rh 2.82

---

Below is an optimized crystal structure of CoReSi2, with properties calculated at the PBE level.

Output
The formation energy (no corrections) comes out at -0.72 eV/f.u. Its crystal system is trigonal. The energy above the most stable polymorph in this dataset is 109 meV per atom.

Lattice parameters (Å, degrees): 2.7817 2.7817 22.7156 90.00 90.00 120.00
Closest atoms and distances in Å follow each position.
Space group R-3m (No. 166, hexagonal axes)
Asymmetric unit:
Co  0.0000  0.0000  0.0000 (multiplicity 3)  6 Si 2.38
Re  0.0000  0.0000  0.5000 (multiplicity 3)  6 Si 2.59, 6 Re 2.78
Si  0.0000  0.0000  0.2559 (multiplicity 6)  3 Co 2.38, 3 Re 2.59

---

Below is an optimized crystal structure of YH8IrPt2, with properties calculated at the PBE level.

Output
Its crystal system is triclinic. The calculation puts the electronic total energy at -56.78 eV/cell.

Lattice parameters (Å, degrees): 4.4444 4.5759 6.0315 82.57 81.42 78.74
Closest atoms and distances in Å follow each position.
Space group P-1 (No. 2)
Asymmetric unit:
Y  0.0000  0.0000  0.0000 (multiplicity 1)  6 H 2.35-2.55
H  0.2053  0.7448  0.3228 (multiplicity 2)  1 Ir 1.72
H  0.2121  0.2793  0.4804 (multiplicity 2)  1 Ir 1.71, 1 Pt 1.76
H  0.2879  0.4718  0.9351 (multiplicity 2)  2 Pt 1.72-1.82
H  0.2994  0.8583  0.6555 (multiplicity 2)  1 Ir 1.72, 1 Pt 1.82
Ir  0.0000  0.0000  0.5000 (multiplicity 1)  6 H 1.71-1.72
Pt  0.3830  0.3640  0.2036 (multiplicity 2)  4 H 1.72-1.82

---

Below is an optimized crystal structure of HoTlSn, with properties calculated at the PBE level.

Output
The energy of formation comes out at -0.998 eV per formula unit. Its crystal system is tetragonal. The energy above the most stable polymorph in this dataset is 81 meV per atom.

Lattice parameters (Å, degrees): 4.5971 4.5971 15.5626 90.00 90.00 90.00
Closest atoms and distances in Å follow each position.
Space group I4/mmm (No. 139)
Asymmetric unit:
Ho  0.0000  0.0000  0.1405 (multiplicity 4)  5 Tl 3.09-3.27, 4 Sn 3.17
Tl  0.0000  0.0000  0.3392 (multiplicity 4)  5 Ho 3.09-3.27, 4 Sn 3.40
Sn  0.0000  0.5000  0.0000 (multiplicity 4)  4 Ho 3.17, 4 Sn 3.25, 4 Tl 3.40

---

Below is an optimized crystal structure of La2Cu2W, with properties calculated at the PBE level.

Output
The energy of formation comes out at 2.612 eV per formula unit. Its crystal system is tetragonal.

Lattice parameters (Å, degrees): 5.6763 5.6763 7.4906 90.00 90.00 90.00
Closest atoms and distances in Å follow each position.
Space group I4/mmm (No. 139)
Asymmetric unit:
La  0.0000  0.5000  0.2500 (multiplicity 4)  4 Cu 2.93
Cu  0.0000  0.0000  0.1533 (multiplicity 4)  1 Cu 2.30
W  0.0000  0.0000  0.5000 (multiplicity 2)  2 Cu 2.60

---

Below is an optimized crystal structure of AcGeF, with properties calculated at the PBE level.

Output
The formation energy (no corrections) comes out at -5.84 eV/f.u. Its crystal system is tetragonal. The energy above the most stable polymorph in this dataset is 313 meV per atom.

Lattice parameters (Å, degrees): 3.9924 3.9924 17.0249 90.00 90.00 90.00
Closest atoms and distances in Å follow each position.
Space group I4/mmm (No. 139)
Asymmetric unit:
Ac  0.0000  0.0000  0.1430 (multiplicity 4)  1 F 2.60
Ge  0.0000  0.5000  0.0000 (multiplicity 4)  4 Ge 2.82, 4 Ac 3.15
F  0.0000  0.0000  0.2959 (multiplicity 4)  1 Ac 2.60

---

Below is an optimized crystal structure of TaCoB, with properties calculated at the PBE level.

Output
The energy of formation comes out at 0.048 eV per formula unit. Its crystal system is trigonal.

Lattice parameters (Å, degrees): 2.8886 2.8886 14.9927 90.00 90.00 120.00
Closest atoms and distances in Å follow each position.
Space group R3m (No. 160, hexagonal axes)
Asymmetric unit:
Ta  0.0000  0.0000  0.0000 (multiplicity 3)  3 B 2.40
Co  0.0000  0.0000  0.1891 (multiplicity 3)  3 B 2.00
B  0.0000  0.0000  0.7818 (multiplicity 3)  3 Co 2.00

---

Below is an optimized crystal structure of SiSBr2, with properties calculated at the PBE level.

Output
The formation energy (no corrections) comes out at 2.94 eV/f.u. Its crystal system is trigonal. The energy above the most stable polymorph in this dataset is 629 meV per atom.

Lattice parameters (Å, degrees): 3.3366 3.3366 29.0115 90.00 90.00 120.00
Closest atoms and distances in Å follow each position.
Space group R-3m (No. 166, hexagonal axes)
Asymmetric unit:
Si  0.0000  0.0000  0.0000 (multiplicity 3)  2 Br 2.26
S  0.0000  0.0000  0.5000 (multiplicity 3)  6 Br 3.21, 6 S 3.34
Br  0.0000  0.0000  0.0781 (multiplicity 6)  1 Si 2.26

---

Below is an optimized crystal structure of Ca2FeNiC, with properties calculated at the PBE level.

Output
The energy of formation comes out at 7.145 eV per formula unit. Its crystal system is tetragonal.

Lattice parameters (Å, degrees): 5.2923 5.2923 4.1800 90.00 90.00 90.00
Closest atoms and distances in Å follow each position.
Space group P4/mmm (No. 123)
Asymmetric unit:
Ca  0.0000  0.5000  0.0000 (multiplicity 2)  2 Fe 2.65
Fe  0.0000  0.0000  0.0000 (multiplicity 1)  2 Ni 2.09
Ni  0.0000  0.0000  0.5000 (multiplicity 1)  2 Fe 2.09
C  0.5000  0.5000  0.5000 (multiplicity 1)  8 Ca 3.37, 4 Ni 3.74

---

Below is an optimized crystal structure of Al2SnRu, with properties calculated at the PBE level.

Output
The energy of formation comes out at 0.637 eV per formula unit. Its crystal system is tetragonal.

Lattice parameters (Å, degrees): 7.8774 7.8774 5.1876 90.00 90.00 90.00
Closest atoms and distances in Å follow each position.
Space group I-42d (No. 122)
Asymmetric unit:
Al  0.1733  0.2500  0.1250 (multiplicity 8)  2 Ru 2.48
Sn  0.0000  0.0000  0.5000 (multiplicity 4)  2 Ru 2.59
Ru  0.0000  0.0000  0.0000 (multiplicity 4)  4 Al 2.48, 2 Sn 2.59

---

Below is an optimized crystal structure of LiPrCdRu, with properties calculated at the PBE level.

Output
The energy of formation comes out at -0.112 eV per formula unit. Its crystal system is cubic.

Lattice parameters (Å, degrees): 6.8822 6.8822 6.8822 90.00 90.00 90.00
Closest atoms and distances in Å follow each position.
Space group F-43m (No. 216)
Asymmetric unit:
Li  0.0000  0.0000  0.0000 (multiplicity 4)  4 Cd 2.98, 4 Pr 2.98
Pr  0.2500  0.2500  0.7500 (multiplicity 4)  4 Li 2.98, 4 Ru 2.98
Cd  0.2500  0.2500  0.2500 (multiplicity 4)  4 Li 2.98, 4 Ru 2.98
Ru  0.0000  0.0000  0.5000 (multiplicity 4)  4 Cd 2.98, 4 Pr 2.98

---

Below is an optimized crystal structure of Cs3Hg4Te2, with properties calculated at the PBE level.

Output
The formation energy (no corrections) comes out at -4.83 eV/f.u. Its crystal system is monoclinic.

Lattice parameters (Å, degrees): 13.7504 5.5868 10.6720 90.00 105.37 90.00
Closest atoms and distances in Å follow each position.
Space group C2/m (No. 12)
Asymmetric unit:
Cs  0.0000  0.0000  0.0000 (multiplicity 2)  4 Hg 3.82-3.99, 4 Te 4.05
Cs  0.1729  0.5000  0.6560 (multiplicity 4)  4 Te 3.86-4.15, 7 Hg 3.91-4.07
Hg  0.0445  0.0000  0.3854 (multiplicity 4)  1 Hg 3.01, 2 Te 3.16
Hg  0.2453  0.5000  0.0808 (multiplicity 4)  2 Hg 3.30, 1 Te 3.33
Te  0.0960  0.5000  0.2805 (multiplicity 4)  3 Hg 3.16-3.33

---

Below is an optimized crystal structure of LiAgH, with properties calculated at the PBE level.

Output
Its crystal system is tetragonal. The energy above the most stable polymorph in this dataset is 59 meV per atom.

Lattice parameters (Å, degrees): 2.7683 2.7683 10.0617 90.00 90.00 90.00
Closest atoms and distances in Å follow each position.
Space group I4mm (No. 107)
Asymmetric unit:
Li  0.0000  0.0000  0.0000 (multiplicity 2)  4 H 1.98
Ag  0.0000  0.0000  0.2754 (multiplicity 2)  1 H 1.97
H  0.0000  0.0000  0.4715 (multiplicity 2)  1 Ag 1.97, 4 Li 1.98